(1)
The following is a GGA-PBE calculation of crystalline Ac2NdTmAs4 at its relaxed geometry, from the Alexandria database.

```
Ac2NdTmAs4
1.0
4.364 0.000 0.000
0.000 7.558 -0.152
0.000 2.656 7.069
Ac As Nd Tm
2 4 1 1
Direct
0.000 0.000 0.000
0.500 0.000 0.500
0.500 0.728 0.263
0.000 0.732 0.750
0.000 0.268 0.250
0.500 0.272 0.737
0.500 0.500 0.000
0.000 0.500 0.500
```

- V: 234.9 Å³ per cell
- E_tot: -47.70 eV for the cell shown
- Mass density: 7.542 g cm⁻³
- SG: No. 10

(2)
The following is a GGA-PBE calculation of crystalline Zr3CuNi at its relaxed geometry, from the Alexandria database.

```
Zr3CuNi
1.0
-3.862 1.819 -2.248
-2.613 -3.801 1.413
-1.238 2.349 4.028
Zr Cu Ni
3 1 1
Direct
0.000 0.000 0.500
0.000 0.500 0.000
0.500 0.000 0.000
0.500 0.500 0.500
0.000 0.000 0.000
```

- Excess energy over the best structure of this formula in the dataset: 0.0 meV/atom
- V: 112.3 Å³ per cell
- Mass density: 5.855 g cm⁻³
- SG: No. 221